[1]
The following is a DFT calculation (PBE-GGA) of Al2Ag4Au after structural relaxation.

abc: 6.9477 6.9477 6.9477
angles: 109.76 108.89 109.76
With the nearest neighbours (Å) after each atom.
Atoms (fractional coordinates):
Al1 0.8750 0.1158 0.4908  8 Ag 2.72-2.76
Ag1 0.4638 0.0744 0.2170  4 Al 2.72-2.76, 2 Au 2.83-2.85, 2 Ag 2.86-2.91
Au1 0.0000 0.0000 0.0000  8 Ag 2.83-2.85
Al2 0.2408 0.6158 0.1250  8 Ag 2.72-2.76
Ag2 0.1426 0.9256 0.3894  4 Al 2.72-2.76, 2 Au 2.83-2.85, 2 Ag 2.86-2.91
Au2 0.7500 0.5000 0.2500  8 Ag 2.83-2.85
Ag3 0.1394 0.4256 0.3926  4 Al 2.72-2.76, 2 Au 2.83-2.85, 2 Ag 2.86-2.91
Al3 0.5092 0.3842 0.6250  8 Ag 2.72-2.76
Ag4 0.9670 0.5744 0.7138  4 Al 2.72-2.76, 2 Au 2.83-2.85, 2 Ag 2.86-2.91
Ag5 0.6074 0.7468 0.0330  4 Al 2.72-2.76, 2 Au 2.83-2.85, 2 Ag 2.86-2.91
Ag6 0.6106 0.7532 0.5362  4 Al 2.72-2.76, 2 Au 2.83-2.85, 2 Ag 2.86-2.91
Ag7 0.7830 0.2468 0.8574  4 Al 2.72-2.76, 2 Au 2.83-2.85, 2 Ag 2.86-2.91
Ag8 0.2862 0.2532 0.8606  4 Al 2.72-2.76, 2 Au 2.83-2.85, 2 Ag 2.86-2.91
Al4 0.3750 0.8842 0.7592  8 Ag 2.72-2.76

Properties
Space-group type: I-42d, No. 122


[2]
The following is a DFT calculation (PBE-GGA) of Pr4Ni2Bi after structural relaxation.

abc: 8.2678 8.2678 8.2539
angles: 107.93 107.92 112.68
With the nearest neighbours (Å) after each atom.
Atoms (fractional coordinates):
Pr1 0.9101 0.5896 0.6799  3 Ni 2.70-3.01
Ni1 0.6253 0.8750 0.2503  6 Pr 2.70-3.01
Ni2 0.1250 0.3753 0.7503  6 Pr 2.70-3.01
Pr2 0.8396 0.6601 0.1799  3 Ni 2.70-3.01
Bi1 0.2498 0.7498 0.5000  8 Pr 3.22-3.57
Pr3 0.3394 0.1604 0.8196  3 Ni 2.70-3.01
Pr4 0.4803 0.6598 0.8202  3 Ni 2.70-3.01
Bi2 0.0001 0.0001 0.0000  8 Pr 3.22-3.57
Pr5 0.7697 0.0907 0.6803  3 Ni 2.70-3.01
Ni3 0.6247 0.3750 0.7497  6 Pr 2.70-3.01
Pr6 0.9097 0.2302 0.3201  3 Ni 2.70-3.01
Pr7 0.4104 0.0894 0.3196  3 Ni 2.70-3.01
Pr8 0.3408 0.5198 0.1804  3 Ni 2.70-3.01
Ni4 0.6250 0.3747 0.2497  6 Pr 2.70-3.01

Properties
Space-group type: Fddd, No. 70


[3]
The following is a DFT calculation (PBE-GGA) of Ca4Zn after structural relaxation.

abc: 6.9228 6.9228 7.4535
angles: 90.00 90.00 90.00
With the nearest neighbours (Å) after each atom.
Atoms (fractional coordinates):
Zn1 0.5000 0.5000 0.5000  8 Ca 3.15-3.29
Ca1 0.2351 0.3480 0.8384  2 Zn 3.15-3.29
Ca2 0.6520 0.2351 0.1616  2 Zn 3.15-3.29
Ca3 0.7351 0.1520 0.6616  2 Zn 3.15-3.29
Ca4 0.1520 0.2649 0.3384  2 Zn 3.15-3.29
Ca5 0.8480 0.7351 0.3384  2 Zn 3.15-3.29
Zn2 0.0000 0.0000 0.0000  8 Ca 3.15-3.29
Ca6 0.2649 0.8480 0.6616  2 Zn 3.15-3.29
Ca7 0.7649 0.6520 0.8384  2 Zn 3.15-3.29
Ca8 0.3480 0.7649 0.1616  2 Zn 3.15-3.29

Properties
Space-group type: P-42_1c, No. 114


[4]
The following is a DFT calculation (PBE-GGA) of U2Nb2C3 after structural relaxation.

abc: 3.2711 5.7624 6.0226
angles: 105.86 105.76 90.00
With the nearest neighbours (Å) after each atom.
Atoms (fractional coordinates):
Nb1 0.1434 0.3557 0.2868  4 C 2.22-2.26
U1 0.3854 0.1549 0.7708  5 C 2.41-2.45
C1 0.7482 0.2512 0.4964  3 Nb 2.22-2.26, 3 U 2.41-2.45
C2 0.0000 0.0000 0.0000  2 Nb 2.24, 4 U 2.43
Nb2 0.8566 0.6443 0.7132  4 C 2.22-2.26
C3 0.2518 0.7488 0.5036  3 Nb 2.22-2.26, 3 U 2.41-2.45
U2 0.6146 0.8451 0.2292  5 C 2.41-2.45

Properties
Space-group type: C2/m, No. 12


[5]
The following is a DFT calculation (PBE-GGA) of AlW2Au after structural relaxation.

abc: 2.7454 4.1573 5.7563
angles: 90.00 90.00 90.00
With the nearest neighbours (Å) after each atom.
Atoms (fractional coordinates):
W1 0.5000 0.5000 0.2404  6 W 2.75-2.79, 2 Au 2.84-2.92, 4 Al 2.91
Al1 0.0000 0.0000 0.5032  2 Al 2.75, 6 W 2.77-2.99, 4 Au 2.82
W2 0.0000 0.0000 0.0227  6 W 2.75-2.79, 2 Al 2.77-2.99, 4 Au 3.00
Au1 0.5000 0.5000 0.7337  2 Au 2.75, 4 Al 2.82, 6 W 2.84-3.00

Properties
Space-group type: Pmm2, No. 25


[6]
The following is a DFT calculation (PBE-GGA) of TaBeTe2 after structural relaxation.

abc: 4.5590 3.6411 5.2395
angles: 69.72 90.00 90.00
With the nearest neighbours (Å) after each atom.
Atoms (fractional coordinates):
Te1 0.0000 0.9806 0.9141  3 Be 2.72-2.90, 4 Ta 3.03
Ta1 0.5000 0.5626 0.7495  2 Be 2.58, 3 Te 2.74-2.87
Te2 0.5000 0.2706 0.3331  3 Ta 2.74-2.87, 4 Be 3.03-3.04
Be1 0.0000 0.6862 0.5034  2 Ta 2.58, 2 Te 2.72

Properties
Space-group type: Amm2, No. 38


[7]
The following is a DFT calculation (PBE-GGA) of TaTi3Fe2 after structural relaxation.

abc: 2.9737 2.9737 9.8257
angles: 90.00 90.00 90.00
With the nearest neighbours (Å) after each atom.
Atoms (fractional coordinates):
Fe1 0.5000 0.5000 0.1504  8 Ti 2.56-2.57
Ti1 0.0000 0.0000 0.0000  8 Fe 2.57
Ti2 0.0000 0.0000 0.7005  4 Fe 2.56
Ti3 0.0000 0.0000 0.2995  4 Fe 2.56
Ta1 0.5000 0.5000 0.5000  8 Ti 2.88, 4 Ta 2.97
Fe2 0.5000 0.5000 0.8496  8 Ti 2.56-2.57

Properties
Space-group type: P4/mmm, No. 123


[8]
The following is a DFT calculation (PBE-GGA) of AgRh after structural relaxation.

abc: 8.0007 14.8676 4.6782
angles: 90.00 90.00 90.00
With the nearest neighbours (Å) after each atom.
Atoms (fractional coordinates):
Rh1 0.0000 0.4148 0.5000  3 Rh 2.53-2.60, 2 Ag 2.80
Ag1 0.9149 0.2500 0.7500  3 Ag 2.64-2.71, 2 Rh 2.80
Ag2 0.0851 0.7500 0.7500  3 Ag 2.64-2.71, 2 Rh 2.80
Rh2 0.7500 0.3352 0.2500  3 Rh 2.53-2.60, 2 Ag 2.80
Ag3 0.3351 0.0000 0.0000  3 Ag 2.64-2.71, 2 Rh 2.80
Rh3 0.2500 0.3352 0.7500  3 Rh 2.53-2.60, 2 Ag 2.80
Ag4 0.1649 0.5000 0.0000  3 Ag 2.64-2.71, 2 Rh 2.80
Ag5 0.9149 0.7500 0.2500  3 Ag 2.64-2.71, 2 Rh 2.80
Rh4 0.0000 0.5852 0.5000  3 Rh 2.53-2.60, 2 Ag 2.80
Ag6 0.8351 0.5000 0.0000  3 Ag 2.64-2.71, 2 Rh 2.80
Ag7 0.4149 0.2500 0.2500  3 Ag 2.64-2.71, 2 Rh 2.80
Rh5 0.2500 0.1648 0.7500  3 Rh 2.53-2.60, 2 Ag 2.80
Rh6 0.0000 0.9148 0.0000  3 Rh 2.53-2.60, 2 Ag 2.80
Ag8 0.6649 0.0000 0.0000  3 Ag 2.64-2.71, 2 Rh 2.80
Ag9 0.0851 0.2500 0.2500  3 Ag 2.64-2.71, 2 Rh 2.80
Rh7 0.7500 0.8352 0.7500  3 Rh 2.53-2.60, 2 Ag 2.80
Ag10 0.8351 0.0000 0.5000  3 Ag 2.64-2.71, 2 Rh 2.80
Ag11 0.6649 0.5000 0.5000  3 Ag 2.64-2.71, 2 Rh 2.80
Rh8 0.7500 0.6648 0.7500  3 Rh 2.53-2.60, 2 Ag 2.80
Rh9 0.5000 0.9148 0.5000  3 Rh 2.53-2.60, 2 Ag 2.80
Rh10 0.0000 0.0852 0.0000  3 Rh 2.53-2.60, 2 Ag 2.80
Ag12 0.3351 0.5000 0.5000  3 Ag 2.64-2.71, 2 Rh 2.80
Rh11 0.2500 0.6648 0.2500  3 Rh 2.53-2.60, 2 Ag 2.80
Rh12 0.5000 0.4148 0.0000  3 Rh 2.53-2.60, 2 Ag 2.80
Rh13 0.2500 0.8352 0.2500  3 Rh 2.53-2.60, 2 Ag 2.80
Rh14 0.7500 0.1648 0.2500  3 Rh 2.53-2.60, 2 Ag 2.80
Rh15 0.5000 0.0852 0.5000  3 Rh 2.53-2.60, 2 Ag 2.80
Ag13 0.5851 0.7500 0.2500  3 Ag 2.64-2.71, 2 Rh 2.80
Ag14 0.5851 0.2500 0.7500  3 Ag 2.64-2.71, 2 Rh 2.80
Ag15 0.1649 0.0000 0.5000  3 Ag 2.64-2.71, 2 Rh 2.80
Rh16 0.5000 0.5852 0.0000  3 Rh 2.53-2.60, 2 Ag 2.80
Ag16 0.4149 0.7500 0.7500  3 Ag 2.64-2.71, 2 Rh 2.80

Properties
Space-group type: Fddd, No. 70


[9]
The following is a DFT calculation (PBE-GGA) of CaAgMo4 after structural relaxation.

abc: 5.3992 5.3992 5.3992
angles: 60.00 60.00 60.00
With the nearest neighbours (Å) after each atom.
Atoms (fractional coordinates):
Mo1 0.3751 0.3751 0.8747  6 Mo 2.70
Ag1 0.7500 0.7500 0.7500  12 Mo 3.17, 4 Ca 3.31
Mo2 0.3751 0.8747 0.3751  6 Mo 2.70
Mo3 0.8747 0.3751 0.3751  6 Mo 2.70
Ca1 0.0000 0.0000 0.0000  12 Mo 3.17, 4 Ag 3.31
Mo4 0.3751 0.3751 0.3751  6 Mo 2.70

Properties
Space-group type: F-43m, No. 216


[10]
The following is a DFT calculation (PBE-GGA) of CoHN after structural relaxation.

abc: 2.6064 2.6187 4.1065
angles: 105.81 91.47 90.00
With the nearest neighbours (Å) after each atom.
Atoms (fractional coordinates):
H1 0.1692 0.6873 0.5105  1 N 1.05
Co1 0.6858 0.3595 0.9102  4 N 1.92
N1 0.1803 0.8018 0.7752  1 H 1.05

Properties
Space-group type: P1, No. 1


[11]
The following is a DFT calculation (PBE-GGA) of HoEr6Sc3 after structural relaxation.

abc: 6.1810 11.1181 11.1181
angles: 130.50 90.00 90.00
With the nearest neighbours (Å) after each atom.
Atoms (fractional coordinates):
Er1 0.5803 0.6230 0.7373  3 Sc 3.20-3.44, 4 Er 3.35-3.57
Sc1 0.9862 0.7057 0.9588  2 Sc 3.12-3.29, 5 Er 3.15-3.46, 1 Ho 3.37
Sc2 0.1023 0.4168 0.5832  3 Er 3.01-3.30, 2 Sc 3.29
Sc3 0.9862 0.0412 0.2943  2 Sc 3.12-3.29, 5 Er 3.15-3.46, 1 Ho 3.37
Er2 0.8255 0.8962 0.4594  3 Sc 3.15-3.48, 3 Er 3.31-3.46, 1 Ho 3.44
Ho1 0.5147 0.8411 0.1589  6 Er 3.21-3.55, 2 Sc 3.37
Er3 0.2892 0.6974 0.3026  1 Sc 3.01, 1 Ho 3.22, 2 Er 3.34
Sc4 0.4862 0.2943 0.0412  2 Sc 3.12-3.29, 5 Er 3.15-3.46, 1 Ho 3.37
Sc5 0.4862 0.9588 0.7057  2 Sc 3.12-3.29, 5 Er 3.15-3.46, 1 Ho 3.37
Sc6 0.6023 0.5832 0.4168  3 Er 3.01-3.30, 2 Sc 3.29
Ho2 0.0147 0.1589 0.8411  6 Er 3.21-3.55, 2 Sc 3.37
Er4 0.3255 0.4594 0.8962  3 Sc 3.15-3.48, 3 Er 3.31-3.46, 1 Ho 3.44
Er5 0.2952 0.9853 0.0147  2 Er 3.15, 1 Ho 3.21, 4 Sc 3.35-3.46
Er6 0.3255 0.1038 0.5406  3 Sc 3.15-3.48, 3 Er 3.31-3.46, 1 Ho 3.44
Er7 0.0803 0.3770 0.2627  3 Sc 3.20-3.44, 4 Er 3.35-3.57
Er8 0.0803 0.7373 0.6230  3 Sc 3.20-3.44, 4 Er 3.35-3.57
Er9 0.8255 0.5406 0.1038  3 Sc 3.15-3.48, 3 Er 3.31-3.46, 1 Ho 3.44
Er10 0.5803 0.2627 0.3770  3 Sc 3.20-3.44, 4 Er 3.35-3.57
Er11 0.7952 0.0147 0.9853  2 Er 3.15, 1 Ho 3.21, 4 Sc 3.35-3.46
Er12 0.7892 0.3026 0.6974  1 Sc 3.01, 1 Ho 3.22, 2 Er 3.34

Properties
Space-group type: Cmc2_1, No. 36


[12]
The following is a DFT calculation (PBE-GGA) of Ca3Pb2Au after structural relaxation.

abc: 3.6347 3.6347 12.7723
angles: 90.00 90.00 90.00
With the nearest neighbours (Å) after each atom.
Atoms (fractional coordinates):
Ca1 0.0000 0.0000 0.3580  4 Au 3.15, 4 Pb 3.44
Ca2 0.0000 0.0000 0.6420  4 Au 3.15, 4 Pb 3.44
Ca3 0.0000 0.0000 0.0000  8 Pb 3.44, 4 Ca 3.63
Pb1 0.5000 0.5000 0.1794  8 Ca 3.44, 4 Pb 3.63
Au1 0.5000 0.5000 0.5000  8 Ca 3.15
Pb2 0.5000 0.5000 0.8206  8 Ca 3.44, 4 Pb 3.63

Properties
Space-group type: P4/mmm, No. 123


Respective V values: 18.4; 30.9; 35.7; 15.0; 16.4; 20.4; 14.5; 17.4; 18.5; 9.0; 29.0; 28.1 Å³ per atom.
Respective electronic total energy values: -3.08; -5.21; -1.92; -10.33; -8.00; -5.32; -8.99; -4.64; -7.48; -6.04; -4.97; -3.41 eV per atom.